[1]
# Cs2Sm2RhO6 (PBE, relaxed)
data_Cs2Sm2RhO6
_chemical_formula_sum 'Cs4 Sm4 Rh2 O12'
_symmetry_space_group_name_H-M 'C 1 2/m 1'
_symmetry_Int_Tables_number 12
_symmetry_space_group_name_Hall '-C 2y'
_cell_length_a 5.995
_cell_length_b 10.293
_cell_length_c 7.198
_cell_angle_alpha 90.00
_cell_angle_beta 104.28
_cell_angle_gamma 90.00
loop_
_atom_site_label
_atom_site_type_symbol
_atom_site_fract_x
_atom_site_fract_y
_atom_site_fract_z
_atom_site_occupancy
Cs1 Cs 0.000 0.165 0.000 1
Sm1 Sm 0.000 0.335 0.500 1
Rh1 Rh 0.000 0.000 0.500 1
O1 O 0.197 0.152 0.656 1
O2 O 0.249 0.000 0.341 1
# - energy relative to the elements, uncorrected (meV/atom) = -2017.6

***

[2]
# Tb8Y4Th3 (PBE, relaxed)
data_Tb8Y4Th3
_chemical_formula_sum 'Tb16 Y8 Th6'
_symmetry_space_group_name_H-M 'C 1 2/m 1'
_symmetry_Int_Tables_number 12
_symmetry_space_group_name_Hall '-C 2y'
_cell_length_a 13.877
_cell_length_b 12.135
_cell_length_c 6.792
_cell_angle_alpha 90.00
_cell_angle_beta 119.16
_cell_angle_gamma 90.00
loop_
_atom_site_label
_atom_site_type_symbol
_atom_site_fract_x
_atom_site_fract_y
_atom_site_fract_z
_atom_site_occupancy
Tb1 Tb 0.000 0.203 0.000 1
Tb2 Tb 0.000 0.252 0.500 1
Tb3 Tb 0.201 0.000 0.208 1
Tb4 Tb 0.247 0.500 0.249 1
Y1 Y 0.000 0.500 0.000 1
Y2 Y 0.000 0.500 0.500 1
Y3 Y 0.250 0.250 0.000 1
Th1 Th 0.000 0.000 0.500 1
Th2 Th 0.250 0.250 0.500 1
# - formation enthalpy at 0 K (eV per atom) = 0.399

***

[3]
# Nd8Rh3CBr4 (PBE, relaxed)
data_Nd8Rh3CBr4
_chemical_formula_sum 'Nd16 Rh6 C2 Br8'
_symmetry_space_group_name_H-M 'C 1 2/m 1'
_symmetry_Int_Tables_number 12
_symmetry_space_group_name_Hall '-C 2y'
_cell_length_a 14.132
_cell_length_b 8.159
_cell_length_c 9.073
_cell_angle_alpha 90.00
_cell_angle_beta 121.33
_cell_angle_gamma 90.00
loop_
_atom_site_label
_atom_site_type_symbol
_atom_site_fract_x
_atom_site_fract_y
_atom_site_fract_z
_atom_site_occupancy
Nd1 Nd 0.017 0.236 0.314 1
Nd2 Nd 0.220 0.000 0.686 1
Nd3 Nd 0.234 0.500 0.701 1
Rh1 Rh 0.000 0.500 0.500 1
Rh2 Rh 0.250 0.250 0.500 1
C1 C 0.000 0.000 0.500 1
Br1 Br 0.000 0.000 0.000 1
Br2 Br 0.000 0.500 0.000 1
Br3 Br 0.250 0.250 0.000 1
# - energy relative to the elements, uncorrected (meV/atom) = -963.5

***

[4]
# ZrTaMnIr2 (PBE, relaxed)
data_ZrTaMnIr2
_chemical_formula_sum 'Zr1 Ta1 Mn1 Ir2'
_symmetry_space_group_name_H-M 'P 4/m m m'
_symmetry_Int_Tables_number 123
_symmetry_space_group_name_Hall '-P 4 2'
_cell_length_a 4.471
_cell_length_b 4.471
_cell_length_c 4.602
_cell_angle_alpha 90.00
_cell_angle_beta 90.00
_cell_angle_gamma 90.00
loop_
_atom_site_label
_atom_site_type_symbol
_atom_site_fract_x
_atom_site_fract_y
_atom_site_fract_z
_atom_site_occupancy
Zr1 Zr 0.000 0.000 0.000 1
Ta1 Ta 0.500 0.500 0.000 1
Mn1 Mn 0.000 0.000 0.500 1
Ir1 Ir 0.000 0.500 0.500 1
# - formation enthalpy at 0 K (eV per atom) = 0.786